TaCoMoO6 GGA+U optimized geometry; size of the total moment = 4.000 Bohr magnetons per cell; DFT total energy = -7.868 eV per atom
1.0
4.6614 0.0000 0.0000
0.0000 4.6614 0.0000
0.0000 0.0000 9.1633
Ta Co Mo O
2 2 2 12
Direct
0.0000 0.0000 0.0000
0.5000 0.5000 0.5000
0.0000 0.0000 0.3383
0.5000 0.5000 0.8383
0.0000 0.0000 0.6716
0.5000 0.5000 0.1716
0.1912 0.1912 0.1742
0.1960 0.1960 0.4983
0.2070 0.2070 0.8458
0.2930 0.7070 0.3458
0.3040 0.6960 0.9983
0.3088 0.6912 0.6742
0.6912 0.3088 0.6742
0.6960 0.3040 0.9983
0.7070 0.2930 0.3458
0.7930 0.7930 0.8458
0.8040 0.8040 0.4983
0.8088 0.8088 0.1742